Compound: TaWSeBr2
Source: the Alexandria database
Functional: PBE-GGA
Structure: relaxed

Results
Total magnetic moment ... 5.56 μB per formula unit
Energy relative to the elements, uncorrected ... 5.57 eV per formula unit

Cell and atoms, written as extended XYZ:
```
5
Lattice="5.106 0.000 0.000 0.000 5.106 0.000 0.000 0.000 5.113" Properties=species:S:1:pos:R:3 pbc="T T T"
Br 0.000 2.553 0.000
Br 2.553 0.000 0.000
Se 0.000 0.000 2.557
W 2.553 2.553 2.557
Ta 0.000 0.000 0.000
```